## w
Below is a geometry-optimized LiLaAs2 structure, with properties calculated at the PBE-GGA level.

Values from the calculation:
- calculated density (g/cm3) = 5.4

Geometry as CIF:
```
data_LiLaAs2
_symmetry_space_group_name_H-M 'P 4 m m'
_symmetry_Int_Tables_number 99
_cell_length_a 4.6671
_cell_length_b 4.6671
_cell_length_c 4.1678
_cell_angle_alpha 90.00
_cell_angle_beta 90.00
_cell_angle_gamma 90.00
loop_
_symmetry_equiv_pos_as_xyz
'x,y,z'
'-y,x,z'
'-x,-y,z'
'y,-x,z'
'-x,y,z'
'y,x,z'
'x,-y,z'
'-y,-x,z'
loop_
_atom_site_label
_atom_site_type_symbol
_atom_site_fract_x
_atom_site_fract_y
_atom_site_fract_z
_atom_site_occupancy
Li1 Li 0.0000 0.0000 0.0000 1
La1 La 0.5000 0.5000 0.1518 1
As1 As 0.0000 0.5000 0.6486 1
```



## x
Below is a geometry-optimized LiLaAs2 structure, with properties calculated at the PBE-GGA level.

Values from the calculation:
- calculated density (g/cm3) = 5.4

Geometry as CIF:
```
data_LiLaAs2
_symmetry_space_group_name_H-M 'C 1 2/m 1'
_symmetry_Int_Tables_number 12
_cell_length_a 8.2891
_cell_length_b 4.5406
_cell_length_c 5.1793
_cell_angle_alpha 90.00
_cell_angle_beta 112.38
_cell_angle_gamma 90.00
loop_
_symmetry_equiv_pos_as_xyz
'x,y,z'
'-x,-y,-z'
'-x,y,-z'
'x,-y,z'
'x+1/2,y+1/2,z'
'-x+1/2,-y+1/2,-z'
'-x+1/2,y+1/2,-z'
'x+1/2,-y+1/2,z'
loop_
_atom_site_label
_atom_site_type_symbol
_atom_site_fract_x
_atom_site_fract_y
_atom_site_fract_z
_atom_site_occupancy
Li1 Li 0.0000 0.0000 0.0000 1
La1 La 0.0000 0.5000 0.5000 1
As1 As 0.2454 0.5000 0.1683 1
```



Last place for stability: x



## w
Below is a geometry-optimized LiLaAs structure, with properties calculated at the PBE-GGA level.

Values from the calculation:
- calculated density (g/cm3) = 5.1

Geometry as CIF:
```
data_LiLaAs
_symmetry_space_group_name_H-M 'I 4 m m'
_symmetry_Int_Tables_number 107
_symmetry_space_group_name_Hall 'I 4 -2'
_cell_length_a 4.1534
_cell_length_b 4.1534
_cell_length_c 8.3806
_cell_angle_alpha 90.00
_cell_angle_beta 90.00
_cell_angle_gamma 90.00
loop_
_atom_site_label
_atom_site_type_symbol
_atom_site_fract_x
_atom_site_fract_y
_atom_site_fract_z
_atom_site_occupancy
Li1 Li 0.0000 0.0000 0.0000 1
La1 La 0.0000 0.0000 0.3427 1
As1 As 0.0000 0.0000 0.6986 1
```



## x
Below is a geometry-optimized LiLaAs structure, with properties calculated at the PBE-GGA level.

Values from the calculation:
- calculated density (g/cm3) = 5.0

Geometry as CIF:
```
data_LiLaAs
_symmetry_space_group_name_H-M 'F m m 2'
_symmetry_Int_Tables_number 42
_symmetry_space_group_name_Hall 'F 2 -2'
_cell_length_a 4.7708
_cell_length_b 5.8612
_cell_length_c 10.4366
_cell_angle_alpha 90.00
_cell_angle_beta 90.00
_cell_angle_gamma 90.00
loop_
_atom_site_label
_atom_site_type_symbol
_atom_site_fract_x
_atom_site_fract_y
_atom_site_fract_z
_atom_site_occupancy
Li1 Li 0.0000 0.0000 0.0000 1
La1 La 0.0000 0.0000 0.2820 1
As1 As 0.0000 0.0000 0.6041 1
```



## y
Below is a geometry-optimized LiLaAs structure, with properties calculated at the PBE-GGA level.

Values from the calculation:
- calculated density (g/cm3) = 5.5

Geometry as CIF:
```
data_LiLaAs
_symmetry_space_group_name_H-M 'F -4 3 m'
_symmetry_Int_Tables_number 216
_symmetry_space_group_name_Hall 'F -4 2 3'
_cell_length_a 6.4336
_cell_length_b 6.4336
_cell_length_c 6.4336
_cell_angle_alpha 90.00
_cell_angle_beta 90.00
_cell_angle_gamma 90.00
loop_
_atom_site_label
_atom_site_type_symbol
_atom_site_fract_x
_atom_site_fract_y
_atom_site_fract_z
_atom_site_occupancy
Li1 Li 0.0000 0.0000 0.0000 1
La1 La 0.2500 0.2500 0.2500 1
As1 As 0.2500 0.2500 0.7500 1
```



## z
Below is a geometry-optimized LiLaAs structure, with properties calculated at the PBE-GGA level.

Values from the calculation:
- calculated density (g/cm3) = 4.3

Geometry as CIF:
```
data_LiLaAs
_symmetry_space_group_name_H-M 'F -4 3 m'
_symmetry_Int_Tables_number 216
_symmetry_space_group_name_Hall 'F -4 2 3'
_cell_length_a 6.9875
_cell_length_b 6.9875
_cell_length_c 6.9875
_cell_angle_alpha 90.00
_cell_angle_beta 90.00
_cell_angle_gamma 90.00
loop_
_atom_site_label
_atom_site_type_symbol
_atom_site_fract_x
_atom_site_fract_y
_atom_site_fract_z
_atom_site_occupancy
Li1 Li 0.0000 0.0000 0.0000 1
La1 La 0.2500 0.2500 0.2500 1
As1 As 0.0000 0.0000 0.5000 1
```



Last place for stability: z



## w
Below is a geometry-optimized Li3LaAs structure, with properties calculated at the PBE-GGA level.

Values from the calculation:
- calculated density (g/cm3) = 3.6

Geometry as CIF:
```
data_Li3LaAs
_symmetry_space_group_name_H-M 'P m -3 m'
_symmetry_Int_Tables_number 221
_symmetry_space_group_name_Hall '-P 4 2 3'
_cell_length_a 4.7744
_cell_length_b 4.7744
_cell_length_c 4.7744
_cell_angle_alpha 90.00
_cell_angle_beta 90.00
_cell_angle_gamma 90.00
loop_
_atom_site_label
_atom_site_type_symbol
_atom_site_fract_x
_atom_site_fract_y
_atom_site_fract_z
_atom_site_occupancy
Li1 Li 0.0000 0.0000 0.5000 1
La1 La 0.5000 0.5000 0.5000 1
As1 As 0.0000 0.0000 0.0000 1
```



## x
Below is a geometry-optimized Li3LaAs structure, with properties calculated at the PBE-GGA level.

Values from the calculation:
- calculated density (g/cm3) = 2.6

Geometry as CIF:
```
data_Li3LaAs
_symmetry_space_group_name_H-M 'P m -3 m'
_symmetry_Int_Tables_number 221
_symmetry_space_group_name_Hall '-P 4 2 3'
_cell_length_a 5.2931
_cell_length_b 5.2931
_cell_length_c 5.2931
_cell_angle_alpha 90.00
_cell_angle_beta 90.00
_cell_angle_gamma 90.00
loop_
_atom_site_label
_atom_site_type_symbol
_atom_site_fract_x
_atom_site_fract_y
_atom_site_fract_z
_atom_site_occupancy
Li1 Li 0.0000 0.0000 0.5000 1
La1 La 0.0000 0.0000 0.0000 1
As1 As 0.5000 0.5000 0.5000 1
```



Last place for stability: x



## w
Below is a geometry-optimized LiLaAsSe2 structure, with properties calculated at the PBE-GGA level.

Values from the calculation:
- calculated density (g/cm3) = 3.2

Geometry as CIF:
```
data_LiLaAsSe2
_symmetry_space_group_name_H-M 'P 4/m m m'
_symmetry_Int_Tables_number 123
_symmetry_space_group_name_Hall '-P 4 2'
_cell_length_a 5.7880
_cell_length_b 5.7880
_cell_length_c 5.8300
_cell_angle_alpha 90.00
_cell_angle_beta 90.00
_cell_angle_gamma 90.00
loop_
_atom_site_label
_atom_site_type_symbol
_atom_site_fract_x
_atom_site_fract_y
_atom_site_fract_z
_atom_site_occupancy
Li1 Li 0.0000 0.0000 0.0000 1
La1 La 0.5000 0.5000 0.5000 1
As1 As 0.5000 0.5000 0.0000 1
Se1 Se 0.0000 0.5000 0.5000 1
```



## x
Below is a geometry-optimized LiLaAsSe2 structure, with properties calculated at the PBE-GGA level.

Values from the calculation:
- calculated density (g/cm3) = 5.7

Geometry as CIF:
```
data_LiLaAsSe2
_symmetry_space_group_name_H-M 'P 4/m m m'
_symmetry_Int_Tables_number 123
_symmetry_space_group_name_Hall '-P 4 2'
_cell_length_a 4.9252
_cell_length_b 4.9252
_cell_length_c 4.5127
_cell_angle_alpha 90.00
_cell_angle_beta 90.00
_cell_angle_gamma 90.00
loop_
_atom_site_label
_atom_site_type_symbol
_atom_site_fract_x
_atom_site_fract_y
_atom_site_fract_z
_atom_site_occupancy
Li1 Li 0.0000 0.0000 0.0000 1
La1 La 0.5000 0.5000 0.5000 1
As1 As 0.0000 0.0000 0.5000 1
Se1 Se 0.0000 0.5000 0.0000 1
```



Last place for stability: w



## w
Below is a geometry-optimized LaMgAs structure, with properties calculated at the PBE-GGA level.

Values from the calculation:
- calculated density (g/cm3) = 4.3

Geometry as CIF:
```
data_LaMgAs
_symmetry_space_group_name_H-M 'F -4 3 m'
_symmetry_Int_Tables_number 216
_symmetry_space_group_name_Hall 'F -4 2 3'
_cell_length_a 7.1902
_cell_length_b 7.1902
_cell_length_c 7.1902
_cell_angle_alpha 90.00
_cell_angle_beta 90.00
_cell_angle_gamma 90.00
loop_
_atom_site_label
_atom_site_type_symbol
_atom_site_fract_x
_atom_site_fract_y
_atom_site_fract_z
_atom_site_occupancy
La1 La 0.0000 0.0000 0.0000 1
Mg1 Mg 0.2500 0.2500 0.2500 1
As1 As 0.2500 0.2500 0.7500 1
```



## x
Below is a geometry-optimized LaMgAs structure, with properties calculated at the PBE-GGA level.

Values from the calculation:
- calculated density (g/cm3) = 4.9

Geometry as CIF:
```
data_LaMgAs
_symmetry_space_group_name_H-M 'F m m 2'
_symmetry_Int_Tables_number 42
_symmetry_space_group_name_Hall 'F 2 -2'
_cell_length_a 4.6336
_cell_length_b 5.7304
_cell_length_c 12.1004
_cell_angle_alpha 90.00
_cell_angle_beta 90.00
_cell_angle_gamma 90.00
loop_
_atom_site_label
_atom_site_type_symbol
_atom_site_fract_x
_atom_site_fract_y
_atom_site_fract_z
_atom_site_occupancy
La1 La 0.0000 0.0000 0.0000 1
Mg1 Mg 0.0000 0.0000 0.2792 1
As1 As 0.0000 0.0000 0.6520 1
```



Last place for stability: w



## w
Below is a geometry-optimized LaMgAs structure, with properties calculated at the PBE-GGA level.

Values from the calculation:
- calculated density (g/cm3) = 5.2

Geometry as CIF:
```
data_LaMgAs
_symmetry_space_group_name_H-M 'I 4 m m'
_symmetry_Int_Tables_number 107
_symmetry_space_group_name_Hall 'I 4 -2'
_cell_length_a 3.7089
_cell_length_b 3.7089
_cell_length_c 11.0924
_cell_angle_alpha 90.00
_cell_angle_beta 90.00
_cell_angle_gamma 90.00
loop_
_atom_site_label
_atom_site_type_symbol
_atom_site_fract_x
_atom_site_fract_y
_atom_site_fract_z
_atom_site_occupancy
La1 La 0.0000 0.0000 0.0000 1
Mg1 Mg 0.0000 0.0000 0.2838 1
As1 As 0.0000 0.0000 0.6709 1
```



## x
Below is a geometry-optimized LaMgAs structure, with properties calculated at the PBE-GGA level.

Values from the calculation:
- calculated density (g/cm3) = 5.3

Geometry as CIF:
```
data_LaMgAs
_symmetry_space_group_name_H-M 'P -6 m 2'
_symmetry_Int_Tables_number 187
_symmetry_space_group_name_Hall 'P -6 2'
_cell_length_a 4.5051
_cell_length_b 4.5051
_cell_length_c 4.2390
_cell_angle_alpha 90.00
_cell_angle_beta 90.00
_cell_angle_gamma 120.00
loop_
_atom_site_label
_atom_site_type_symbol
_atom_site_fract_x
_atom_site_fract_y
_atom_site_fract_z
_atom_site_occupancy
La1 La 0.0000 0.0000 0.0000 1
Mg1 Mg 0.6667 0.3333 0.5000 1
As1 As 0.3333 0.6667 0.5000 1
```



## y
Below is a geometry-optimized LaMgAs structure, with properties calculated at the PBE-GGA level.

Values from the calculation:
- calculated density (g/cm3) = 4.9

Geometry as CIF:
```
data_LaMgAs
_symmetry_space_group_name_H-M 'P 1 21/m 1'
_symmetry_Int_Tables_number 11
_cell_length_a 4.1041
_cell_length_b 4.5178
_cell_length_c 8.7720
_cell_angle_alpha 90.00
_cell_angle_beta 90.24
_cell_angle_gamma 90.00
loop_
_symmetry_equiv_pos_as_xyz
'x,y,z'
'-x,-y,-z'
'-x,y+1/2,-z'
'x,-y+1/2,z'
loop_
_atom_site_label
_atom_site_type_symbol
_atom_site_fract_x
_atom_site_fract_y
_atom_site_fract_z
_atom_site_occupancy
La1 La 0.2486 0.2500 0.3406 1
Mg1 Mg 0.2505 0.7500 0.0402 1
As1 As 0.2516 0.2500 0.6926 1
```



Last place for stability: w



## w
Below is a geometry-optimized LaMg3As structure, with properties calculated at the PBE-GGA level.

Values from the calculation:
- calculated density (g/cm3) = 2.3

Geometry as CIF:
```
data_LaMg3As
_symmetry_space_group_name_H-M 'P m -3 m'
_symmetry_Int_Tables_number 221
_symmetry_space_group_name_Hall '-P 4 2 3'
_cell_length_a 5.9494
_cell_length_b 5.9494
_cell_length_c 5.9494
_cell_angle_alpha 90.00
_cell_angle_beta 90.00
_cell_angle_gamma 90.00
loop_
_atom_site_label
_atom_site_type_symbol
_atom_site_fract_x
_atom_site_fract_y
_atom_site_fract_z
_atom_site_occupancy
La1 La 0.0000 0.0000 0.0000 1
Mg1 Mg 0.0000 0.0000 0.5000 1
As1 As 0.5000 0.5000 0.5000 1
```



## x
Below is a geometry-optimized LaMg3As structure, with properties calculated at the PBE-GGA level.

Values from the calculation:
- calculated density (g/cm3) = 3.4

Geometry as CIF:
```
data_LaMg3As
_symmetry_space_group_name_H-M 'P m -3 m'
_symmetry_Int_Tables_number 221
_symmetry_space_group_name_Hall '-P 4 2 3'
_cell_length_a 5.1886
_cell_length_b 5.1886
_cell_length_c 5.1886
_cell_angle_alpha 90.00
_cell_angle_beta 90.00
_cell_angle_gamma 90.00
loop_
_atom_site_label
_atom_site_type_symbol
_atom_site_fract_x
_atom_site_fract_y
_atom_site_fract_z
_atom_site_occupancy
La1 La 0.0000 0.0000 0.0000 1
Mg1 Mg 0.0000 0.5000 0.5000 1
As1 As 0.5000 0.5000 0.5000 1
```



Last place for stability: w



## w
Below is a geometry-optimized LaMnAs3 structure, with properties calculated at the PBE-GGA level.

Values from the calculation:
- calculated density (g/cm3) = 6.7

Geometry as CIF:
```
data_LaMnAs3
_symmetry_space_group_name_H-M 'P b c m'
_symmetry_Int_Tables_number 57
_cell_length_a 12.7034
_cell_length_b 5.7625
_cell_length_c 5.6564
_cell_angle_alpha 90.00
_cell_angle_beta 90.00
_cell_angle_gamma 90.00
loop_
_symmetry_equiv_pos_as_xyz
'x,y,z'
'-x,-y,-z'
'-x,-y,z+1/2'
'x,y,-z+1/2'
'x,-y+1/2,-z'
'-x,y+1/2,z'
'-x,y+1/2,-z+1/2'
'x,-y+1/2,z+1/2'
loop_
_atom_site_label
_atom_site_type_symbol
_atom_site_fract_x
_atom_site_fract_y
_atom_site_fract_z
_atom_site_occupancy
La1 La 0.1911 0.0045 0.2500 1
Mn1 Mn 0.4191 0.7500 0.0000 1
As1 As 0.0014 0.7500 0.0000 1
As2 As 0.2937 0.5093 0.2500 1
As3 As 0.4340 0.1069 0.2500 1
```



## x
Below is a geometry-optimized LaMnAs3 structure, with properties calculated at the PBE-GGA level.

Values from the calculation:
- calculated density (g/cm3) = 6.3

Geometry as CIF:
```
data_LaMnAs3
_symmetry_space_group_name_H-M 'P m -3 m'
_symmetry_Int_Tables_number 221
_symmetry_space_group_name_Hall '-P 4 2 3'
_cell_length_a 4.7996
_cell_length_b 4.7996
_cell_length_c 4.7996
_cell_angle_alpha 90.00
_cell_angle_beta 90.00
_cell_angle_gamma 90.00
loop_
_atom_site_label
_atom_site_type_symbol
_atom_site_fract_x
_atom_site_fract_y
_atom_site_fract_z
_atom_site_occupancy
La1 La 0.0000 0.0000 0.0000 1
Mn1 Mn 0.5000 0.5000 0.5000 1
As1 As 0.0000 0.5000 0.5000 1
```



Last place for stability: x